DFT (PBE) results for Cs2SrThS4 after structural relaxation.

As for the symmetry: P2/m. The calculation puts the total moment at 0.00 μB per formula unit. The calculation puts the mass density at 4492 kg/m³. The raw formation energy is -1.79 eV/atom.

The structure in POSCAR format:
```
Cs2SrThS4
1.0
7.532 0.000 0.000
0.000 4.338 0.000
-2.513 0.000 8.075
Cs Sr Th S
2 1 1 4
direct
0.000 0.000 0.000 Cs
0.500 0.500 0.000 Cs
0.000 0.500 0.500 Sr
0.500 0.000 0.500 Th
0.254 0.000 0.687 S
0.290 0.500 0.314 S
0.710 0.500 0.686 S
0.746 0.000 0.313 S
```


DFT (PBE) results for Cs3SrTm2S6 after structural relaxation.

As for the symmetry: C2/m. The calculation puts the total moment at 0.00 μB per formula unit. The calculation puts the mass density at 4618 kg/m³. The raw formation energy is -1.64 eV/atom.

The structure in POSCAR format:
```
Cs3SrTm2S6
1.0
3.624 -6.284 0.000
3.624 6.284 0.000
-2.427 0.000 8.026
Cs Sr Tm S
3 1 2 6
direct
0.000 0.000 0.000 Cs
0.339 0.661 0.000 Cs
0.661 0.339 0.000 Cs
0.500 0.500 0.500 Sr
0.167 0.833 0.500 Tm
0.833 0.167 0.500 Tm
0.079 0.438 0.316 S
0.201 0.201 0.681 S
0.438 0.079 0.316 S
0.562 0.921 0.684 S
0.799 0.799 0.319 S
0.921 0.562 0.684 S
```


DFT (PBE) results for Cs2SrUS6 after structural relaxation.

As for the symmetry: P2_1/c. The calculation puts the total moment at 1.74 μB per formula unit. The calculation puts the mass density at 3933 kg/m³. The raw formation energy is -1.19 eV/atom.

The structure in POSCAR format:
```
Cs2SrUS6
1.0
7.763 0.000 0.000
0.000 7.764 0.000
-7.759 0.000 10.981
Cs Sr U S
4 2 2 12
direct
0.250 0.000 0.250 Cs
0.250 0.500 0.750 Cs
0.750 0.000 0.750 Cs
0.750 0.500 0.250 Cs
0.000 0.000 0.500 Sr
0.000 0.500 0.000 Sr
0.500 0.000 0.000 U
0.500 0.500 0.500 U
0.268 0.230 0.999 S
0.268 0.270 0.499 S
0.269 0.731 0.500 S
0.269 0.769 0.000 S
0.270 0.000 0.769 S
0.270 0.500 0.269 S
0.730 0.000 0.231 S
0.730 0.500 0.731 S
0.731 0.231 0.000 S
0.731 0.269 0.500 S
0.732 0.730 0.501 S
0.732 0.770 0.001 S
```